Record 1
Material: LaNpSc2O8
Method: DFT, PBE
State: optimized geometry

a = 4.9506 Å, b = 4.9516 Å, c = 7.0900 Å
α = 90.03°, β = 90.03°, γ = 87.60°
Fractional coordinates of all 12 atoms:
1 La 0.0000 0.0000 0.5000
2 Np 0.0000 0.0000 0.0000
3 Sc 0.5003 0.5003 0.7258
4 Sc 0.4997 0.4997 0.2742
5 O 0.1997 0.7992 0.2182
6 O 0.7248 0.7260 0.9998
7 O 0.8003 0.2008 0.2182
8 O 0.8003 0.2008 0.7818
9 O 0.2752 0.2740 0.0002
10 O 0.1997 0.7992 0.7818
11 O 0.6738 0.6751 0.5000
12 O 0.3262 0.3249 0.5000

Formation energy without anion corrections: -3.1019 eV/atom
Symmetry: Cmmm, No. 65


Record 2
Material: LaNpSi2O8
Method: DFT, PBE
State: optimized geometry

a = 5.9239 Å, b = 5.9239 Å, c = 5.9239 Å
α = 106.27°, β = 106.27°, γ = 116.08°
Site moments in Bohr magnetons follow the coordinates.
Fractional coordinates of all 12 atoms:
1 La 0.0000 0.0000 0.0000  0.00
2 Np 0.2500 0.7500 0.5000  2.28
3 Si 0.7500 0.2500 0.5000  0.00
4 Si 0.5000 0.5000 0.0000  0.00
5 O 0.4025 0.0729 0.3295  -0.03
6 O 0.3410 0.5281 0.1871  -0.04
7 O 0.3410 0.1539 0.8129  -0.04
8 O 0.7434 0.0729 0.6705  -0.03
9 O 0.8461 0.6590 0.1871  -0.04
10 O 0.9271 0.2566 0.3295  -0.03
11 O 0.9271 0.5975 0.6705  -0.03
12 O 0.4719 0.6590 0.8129  -0.04

Formation energy without anion corrections: -2.9272 eV/atom
N(E_F): 0.722 states/eV per atom
Symmetry: I-4m2, No. 119


Record 3
Material: LaSmNpO6
Method: DFT, PBE
State: optimized geometry

a = 5.9033 Å, b = 5.9033 Å, c = 9.7930 Å
α = 90.00°, β = 90.00°, γ = 120.00°
Site moments in Bohr magnetons follow the coordinates.
Fractional coordinates of all 18 atoms:
1 La 0.0000 0.0000 0.0000  -0.01
2 La 0.0000 0.0000 0.5000  -0.01
3 Sm 0.3333 0.6667 0.2500  0.00
4 Sm 0.6667 0.3333 0.7500  0.00
5 Np 0.6667 0.3333 0.2500  1.21
6 Np 0.3333 0.6667 0.7500  1.21
7 O 0.6638 0.6306 0.1368  -0.03
8 O 0.9669 0.3362 0.1368  -0.03
9 O 0.3362 0.9669 0.6368  -0.03
10 O 0.0331 0.6638 0.8632  -0.03
11 O 0.3694 0.3362 0.3632  -0.03
12 O 0.9669 0.6306 0.3632  -0.03
13 O 0.6306 0.9669 0.8632  -0.03
14 O 0.6638 0.0331 0.3632  -0.03
15 O 0.0331 0.3694 0.6368  -0.03
16 O 0.3694 0.0331 0.1368  -0.03
17 O 0.6306 0.6638 0.6368  -0.03
18 O 0.3362 0.3694 0.8632  -0.03

Formation energy without anion corrections: -3.1865 eV/atom
Symmetry: P-31c, No. 163


Number 1: E -8.9517 eV per atom, magnetization 0.00 μB per cell. Number 2: E -8.6255 eV per atom, magnetization 2.00 μB per cell. Number 3: E -9.0017 eV per atom, magnetization 2.00 μB per cell.